[1]
VASP calculation (PBE-GGA) on Ba3ScN after structural relaxation.

Unit cell a=5.711 b=5.711 c=5.711 alpha=90.00 beta=90.00 gamma=90.00
Fractional coordinates of all 5 atoms:
Ba  0.000  0.000  0.500
Ba  0.000  0.500  0.000
Ba  0.500  0.000  0.000
Sc  0.500  0.500  0.500
N  0.000  0.000  0.000

Output
Its symmetry is Pm-3m (221). The calculated total energy comes out at -3.935 eV per atom. The uncorrected formation energy comes out at 150 meV/atom. As for the energy above the most stable polymorph in this dataset: 0 meV per atom.

---

[2]
VASP calculation (PBE-GGA) on SiPt2Au after structural relaxation.

Unit cell a=4.034 b=4.034 c=3.855 alpha=90.00 beta=90.00 gamma=90.00
Fractional coordinates of all 4 atoms:
Si  0.000  0.000  0.000
Pt  0.000  0.500  0.500
Pt  0.500  0.000  0.500
Au  0.500  0.500  0.000

Output
Its symmetry is P4/mmm (123). The calculated total energy comes out at -5.276 eV per atom. The uncorrected formation energy comes out at -80 meV/atom.